# 1
# MgTaCl2

A relaxed structure of MgTaCl2 (PBE, the Alexandria database).

Unit cell a=4.8136 b=4.8136 c=3.0629 alpha=90.00 beta=90.00 gamma=90.00
Space group P4/mmm (No. 123)
Inequivalent atoms, fractional coordinates:
Mg1 0.0000 0.0000 0.0000 (multiplicity 1)
Ta1 0.5000 0.5000 0.0000 (multiplicity 1)
Cl1 0.0000 0.5000 0.5000 (multiplicity 2)

- Final energy: -3.96 eV/atom
- Formation energy without anion corrections: 323.1 meV/atom
- DOS at the Fermi energy: 0.7232 states/eV per atom
- E above lowest polymorph: 85.7 kJ per mole of atoms

---

# 2
# UBiTe2

A relaxed structure of UBiTe2 (PBE, the Alexandria database).

Unit cell a=4.0019 b=4.0019 c=27.1603 alpha=90.00 beta=90.00 gamma=120.00
Space group R3m (No. 160, hexagonal axes)
Inequivalent atoms, fractional coordinates:
U1 0.0000 0.0000 0.0000 (multiplicity 3)
Bi1 0.0000 0.0000 0.1610 (multiplicity 3)
Te1 0.0000 0.0000 0.4082 (multiplicity 3)
Te2 0.0000 0.0000 0.5909 (multiplicity 3)

- Final energy: -5.53 eV/atom
- Formation energy without anion corrections: -164.3 meV/atom
- DOS at the Fermi energy: 1.2583 states/eV per atom
- E above lowest polymorph: 14.2 kJ per mole of atoms

---

# 3
# KBr2

A relaxed structure of KBr2 (PBE, the Alexandria database).

Unit cell a=6.1194 b=8.0965 c=5.1995 alpha=90.00 beta=90.00 gamma=90.00
Space group Pnnm (No. 58)
Inequivalent atoms, fractional coordinates:
K1 0.0000 0.0000 0.0000 (multiplicity 2)
Br1 0.1836 0.3898 0.0000 (multiplicity 4)

- Final energy: -2.47 eV/atom
- Formation energy without anion corrections: -984.6 meV/atom
- E above lowest polymorph: 16.6 kJ per mole of atoms

---

# 4
# Mg2TaW

A relaxed structure of Mg2TaW (PBE, the Alexandria database).

Unit cell a=3.9169 b=3.9169 c=9.4015 alpha=90.00 beta=90.00 gamma=90.00
Space group I4/mmm (No. 139)
Inequivalent atoms, fractional coordinates:
Mg1 0.0000 0.5000 0.2500 (multiplicity 4)
Ta1 0.0000 0.0000 0.0000 (multiplicity 2)
W1 0.0000 0.0000 0.5000 (multiplicity 2)

- Final energy: -6.62 eV/atom
- DOS at the Fermi energy: 0.6293 states/eV per atom
- Energy relative to the elements: 384 meV per atom
- E above lowest polymorph: 17.7 kJ per mole of atoms

---

# 5
# BaLaSc2Au

A relaxed structure of BaLaSc2Au (PBE, the Alexandria database).

Unit cell a=5.2804 b=5.2804 c=6.2436 alpha=90.00 beta=90.00 gamma=90.00
Space group P4/mmm (No. 123)
Inequivalent atoms, fractional coordinates:
Ba1 0.0000 0.0000 0.0000 (multiplicity 1)
La1 0.0000 0.0000 0.5000 (multiplicity 1)
Sc1 0.0000 0.5000 0.5000 (multiplicity 2)
Au1 0.5000 0.5000 0.0000 (multiplicity 1)

- Final energy: -3.70 eV/atom
- DOS at the Fermi energy: 0.6803 states/eV per atom
- Energy relative to the elements: 858 meV per atom

---

# 6
# TiTcTe2N

A relaxed structure of TiTcTe2N (PBE, the Alexandria database).

Unit cell a=5.4735 b=5.4735 c=3.6805 alpha=90.00 beta=90.00 gamma=90.00
Space group P4/mmm (No. 123)
Inequivalent atoms, fractional coordinates:
Ti1 0.0000 0.0000 0.0000 (multiplicity 1)
Tc1 0.5000 0.5000 0.5000 (multiplicity 1)
Te1 0.0000 0.5000 0.0000 (multiplicity 2)
N1 0.0000 0.0000 0.5000 (multiplicity 1)

- Final energy: -6.07 eV/atom
- Formation energy without anion corrections: 507.2 meV/atom
- DOS at the Fermi energy: 0.8443 states/eV per atom
- E above lowest polymorph: 20.2 kJ per mole of atoms

---

# 7
# Gd5Hf3H12

A relaxed structure of Gd5Hf3H12 (PBE, the Alexandria database).

Unit cell a=12.5843 b=12.5843 c=12.5843 alpha=90.00 beta=90.00 gamma=90.00
Space group Ia-3d (No. 230)
Inequivalent atoms, fractional coordinates:
Gd1 0.0000 0.0000 0.0000 (multiplicity 16)
Gd2 0.0000 0.2500 0.3750 (multiplicity 24)
Hf1 0.0000 0.2500 0.1250 (multiplicity 24)
H1 0.0063 0.0751 0.1585 (multiplicity 96)

- Final energy: -7.39 eV/atom
- DOS at the Fermi energy: 0.4215 states/eV per atom

---

# 8
# Nb2InCo

A relaxed structure of Nb2InCo (PBE, the Alexandria database).

Unit cell a=3.5352 b=3.5352 c=25.0752 alpha=90.00 beta=90.00 gamma=120.00
Space group R-3m (No. 166, hexagonal axes)
Inequivalent atoms, fractional coordinates:
Nb1 0.0000 0.0000 0.1178 (multiplicity 6)
In1 0.0000 0.0000 0.0000 (multiplicity 3)
Co1 0.0000 0.0000 0.5000 (multiplicity 3)

- Final energy: -7.00 eV/atom
- DOS at the Fermi energy: 0.8748 states/eV per atom
- Energy relative to the elements: 500 meV per atom

---

# 9
# Hf2IrAu

A relaxed structure of Hf2IrAu (PBE, the Alexandria database).

Unit cell a=3.2628 b=3.2628 c=7.0127 alpha=90.00 beta=90.00 gamma=90.00
Space group P4/mmm (No. 123)
Inequivalent atoms, fractional coordinates:
Hf1 0.0000 0.0000 0.2338 (multiplicity 2)
Ir1 0.5000 0.5000 0.0000 (multiplicity 1)
Au1 0.5000 0.5000 0.5000 (multiplicity 1)

- Final energy: -8.70 eV/atom
- DOS at the Fermi energy: 0.4403 states/eV per atom
- Energy relative to the elements: -691 meV per atom

---

# 10
# LaYC3

A relaxed structure of LaYC3 (PBE, the Alexandria database).

Unit cell a=4.3814 b=4.3814 c=4.3814 alpha=90.00 beta=90.00 gamma=90.00
Space group Pm-3m (No. 221)
Inequivalent atoms, fractional coordinates:
La1 0.0000 0.0000 0.0000 (multiplicity 1)
Y1 0.5000 0.5000 0.5000 (multiplicity 1)
C1 0.0000 0.0000 0.5000 (multiplicity 3)

- Final energy: -6.07 eV/atom
- DOS at the Fermi energy: 0.6193 states/eV per atom
- Energy relative to the elements: 1747 meV per atom
- E above lowest polymorph: 186.5 kJ per mole of atoms

---

# 11
# Pm2ZnGaAu6

A relaxed structure of Pm2ZnGaAu6 (PBE, the Alexandria database).

Unit cell a=5.4868 b=6.8287 c=6.9305 alpha=79.94 beta=66.90 gamma=66.71
Space group P-1 (No. 2)
Inequivalent atoms, fractional coordinates:
Pm1 0.0120 0.2376 0.2352 (multiplicity 2)
Zn1 0.5000 0.5000 0.0000 (multiplicity 1)
Ga1 0.5000 0.0000 0.5000 (multiplicity 1)
Au1 0.9999 0.2151 0.7887 (multiplicity 2)
Au2 0.3441 0.4095 0.4043 (multiplicity 2)
Au3 0.4987 0.7910 0.2091 (multiplicity 2)

- Final energy: -3.81 eV/atom
- DOS at the Fermi energy: 0.5119 states/eV per atom
- Energy relative to the elements: -466 meV per atom

---

# 12
# U4PaP5

A relaxed structure of U4PaP5 (PBE, the Alexandria database).

Unit cell a=3.9266 b=5.5682 c=19.7575 alpha=90.00 beta=90.00 gamma=90.00
Space group Immm (No. 71)
Inequivalent atoms, fractional coordinates:
U1 0.0000 0.0000 0.0999 (multiplicity 4)
U2 0.0000 0.0000 0.2992 (multiplicity 4)
Pa1 0.0000 0.0000 0.5000 (multiplicity 2)
P1 0.0000 0.5000 0.1013 (multiplicity 4)
P2 0.0000 0.5000 0.3004 (multiplicity 4)
P3 0.0000 0.5000 0.5000 (multiplicity 2)

- Final energy: -9.20 eV/atom
- DOS at the Fermi energy: 2.6908 states/eV per atom
- Energy relative to the elements: -1031 meV per atom

---

# 13
# Cd2BiAs

A relaxed structure of Cd2BiAs (PBE, the Alexandria database).

Unit cell a=7.3469 b=7.3469 c=7.3469 alpha=90.00 beta=90.00 gamma=90.00
Space group Fm-3m (No. 225)
Inequivalent atoms, fractional coordinates:
Cd1 0.2500 0.2500 0.2500 (multiplicity 8)
Bi1 0.0000 0.0000 0.0000 (multiplicity 4)
As1 0.0000 0.0000 0.5000 (multiplicity 4)

- Final energy: -2.34 eV/atom
- DOS at the Fermi energy: 0.9567 states/eV per atom
- Energy relative to the elements: 249 meV per atom
- E above lowest polymorph: 16.0 kJ per mole of atoms

---

# 14
# Er4Ru2Au

A relaxed structure of Er4Ru2Au (PBE, the Alexandria database).

Unit cell a=4.8288 b=4.8288 c=23.4359 alpha=90.00 beta=90.00 gamma=120.00
Space group R-3m (No. 166, hexagonal axes)
Inequivalent atoms, fractional coordinates:
Er1 0.0000 0.0000 0.1200 (multiplicity 6)
Er2 0.0000 0.0000 0.3713 (multiplicity 6)
Ru1 0.0000 0.0000 0.2482 (multiplicity 6)
Au1 0.0000 0.0000 0.5000 (multiplicity 3)

- Final energy: -6.23 eV/atom
- DOS at the Fermi energy: 0.5037 states/eV per atom
- Energy relative to the elements: -503 meV per atom
- E above lowest polymorph: 0.0 kJ per mole of atoms

---

# 15
# Sm6DyY2Th

A relaxed structure of Sm6DyY2Th (PBE, the Alexandria database).

Unit cell a=9.5011 b=15.0025 c=9.4597 alpha=90.00 beta=95.31 gamma=90.00
Space group C2/c (No. 15)
Inequivalent atoms, fractional coordinates:
Sm1 0.0612 0.1730 0.4382 (multiplicity 8)
Sm2 0.0912 0.3851 0.6138 (multiplicity 8)
Sm3 0.2104 0.2182 0.8107 (multiplicity 8)
Dy1 0.0000 0.4100 0.2500 (multiplicity 4)
Y1 0.2495 0.4532 0.9446 (multiplicity 8)
Th1 0.0000 0.0357 0.7500 (multiplicity 4)

- Final energy: -5.18 eV/atom
- DOS at the Fermi energy: 1.4528 states/eV per atom
- Energy relative to the elements: 150 meV per atom

---

# 16
# Tm5Ag4Sn

A relaxed structure of Tm5Ag4Sn (PBE, the Alexandria database).

Unit cell a=3.5410 b=3.5410 c=18.8241 alpha=90.00 beta=90.00 gamma=90.00
Space group P4/mmm (No. 123)
Inequivalent atoms, fractional coordinates:
Tm1 0.0000 0.0000 0.0000 (multiplicity 1)
Tm2 0.0000 0.0000 0.1947 (multiplicity 2)
Tm3 0.0000 0.0000 0.3901 (multiplicity 2)
Ag1 0.5000 0.5000 0.0981 (multiplicity 2)
Ag2 0.5000 0.5000 0.2908 (multiplicity 2)
Sn1 0.5000 0.5000 0.5000 (multiplicity 1)

- Final energy: -4.16 eV/atom
- DOS at the Fermi energy: 0.4536 states/eV per atom
- Energy relative to the elements: -387 meV per atom

---

# 17
# AlMoIr2

A relaxed structure of AlMoIr2 (PBE, the Alexandria database).

Unit cell a=3.9961 b=3.9961 c=7.4026 alpha=90.00 beta=90.00 gamma=90.00
Space group I4/mmm (No. 139)
Inequivalent atoms, fractional coordinates:
Al1 0.0000 0.0000 0.0000 (multiplicity 2)
Mo1 0.0000 0.0000 0.5000 (multiplicity 2)
Ir1 0.0000 0.5000 0.2500 (multiplicity 4)

- Final energy: -8.48 eV/atom
- DOS at the Fermi energy: 0.6772 states/eV per atom
- Energy relative to the elements: -409 meV per atom
- E above lowest polymorph: 19.6 kJ per mole of atoms

---

# 18
# LiAgRuF6

A relaxed structure of LiAgRuF6 (PBE, the Alexandria database).

Unit cell a=5.3196 b=5.3196 c=10.3707 alpha=90.00 beta=90.00 gamma=120.00
Space group P-31c (No. 163)
Inequivalent atoms, fractional coordinates:
Li1 0.3333 0.6667 0.2500 (multiplicity 2)
Ag1 0.0000 0.0000 0.0000 (multiplicity 2)
Ru1 0.3333 0.6667 0.7500 (multiplicity 2)
F1 0.0159 0.3704 0.6451 (multiplicity 12)

- Final energy: -4.68 eV/atom
- Formation energy without anion corrections: -1873.0 meV/atom
- DOS at the Fermi energy: 0.8176 states/eV per atom